Compound: Th3MgCl
Source: OQMD
Functional: GGA-PBE
Structure: optimized geometry

Lattice parameters (Å, degrees): 5.3508 5.3508 5.3508 90.00 90.00 90.00
With the nearest neighbours (Å) after each atom.
Atoms (fractional coordinates):
Th  0.0000  0.5000  0.0000  2 Cl 2.68
Th  0.0000  0.0000  0.5000  2 Cl 2.68
Th  0.5000  0.0000  0.0000  2 Cl 2.68
Cl  0.0000  0.0000  0.0000  6 Th 2.68
Mg  0.5000  0.5000  0.5000  12 Th 3.78

- space-group type = No. 221
- energy (eV per atom) = -5.28
- total moment (μB per formula unit) = 0.0